1.
Sm3AlGaNi4: relaxed, PBE.

Calculated values
- raw total energy (eV/atom) = -5.32
- total magnetization (Bohr magnetons per cell) = 0.000

POSCAR file:
```
Sm3AlGaNi4
1.0
4.9905 -2.0720 0.0000
4.9905 2.0720 0.0000
-1.2182 0.0000 8.1498
Sm Al Ga Ni
3 1 1 4
Cartesian
0.0000 0.0000 0.0000
2.9761 0.0000 5.0338
5.7581 0.0000 3.0805
5.8022 0.0000 6.4051
2.9473 0.0000 1.7652
0.0631 0.0000 5.1861
1.5192 0.0000 7.4499
7.2324 0.0000 0.6984
8.7072 0.0000 2.9781
```

2.
DyTm2Cu4Ge4: relaxed, PBE.

Calculated values
- raw total energy (eV/atom) = -4.89
- total magnetization (Bohr magnetons per cell) = 0.002

POSCAR file:
```
DyTm2Cu4Ge4
1.0
-2.0804 3.3279 6.9209
2.0804 -3.3279 6.9209
2.0804 3.3279 -6.9209
Dy Tm Cu Ge
1 2 4 4
Cartesian
0.0000 0.0000 0.0000
2.0804 0.0000 5.1251
0.0000 3.3279 1.7958
2.0804 1.2684 -2.3429
2.0804 1.2684 2.3429
0.0000 2.0595 4.5780
0.0000 2.0595 9.2639
0.0000 0.0000 3.0089
2.0804 2.0571 0.0000
0.0000 1.2708 6.9209
0.0000 0.0000 10.8330
```

3.
Ag2HgGeTe3Se: relaxed, PBE.

Calculated values
- raw total energy (eV/atom) = -3.07

POSCAR file:
```
Ag2HgGeTe3Se
1.0
4.4889 -4.5265 0.0000
4.4889 4.5265 0.0000
-4.4218 0.0000 6.2624
Ag Hg Ge Te Se
2 1 1 3 1
Cartesian
4.4889 2.3773 0.0000
4.4889 -2.3773 0.0000
2.2613 0.0000 3.2024
6.6402 0.0000 3.2642
2.2353 2.4278 1.6377
-0.1805 0.0000 4.8334
2.2353 -2.4278 1.6377
4.6660 0.0000 4.7058
```

4.
Th2Cu3Pd: relaxed, PBE.

Calculated values
- ΔH_f (0 K) (eV/f.u.) = -2.3
- total magnetization (Bohr magnetons per cell) = 0.024

POSCAR file:
```
Th2Cu3Pd
1.0
0.0000 4.3625 7.6829
3.5771 0.0000 7.6829
3.5771 4.3625 0.0000
Th Cu Pd
4 6 2
Cartesian
5.3795 4.3625 7.6829
1.7886 2.1813 3.8415
5.3657 6.5438 11.5244
1.7748 4.3625 7.6829
3.5771 2.2346 6.4405
3.5771 2.2346 8.9254
3.5771 4.3625 5.1920
3.5771 4.3625 10.1738
3.5771 6.4904 6.4405
3.5771 6.4904 8.9254
3.5771 4.3625 2.5849
3.5771 4.3625 12.7809
```

Number 1: V 18.73 Å³/atom. Number 2: V 17.42 Å³/atom. Number 3: V 31.81 Å³/atom. Number 4: V 19.98 Å³/atom.